(1)
# LiFeBPd | OQMD | PBE | optimized geometry
# * energy above the most stable polymorph in this dataset: 0.875 eV per formula unit
# * symmetry: No. 216
data_LiFeBPd
_symmetry_space_group_name_H-M 'P 1'
_symmetry_Int_Tables_number 1
_cell_length_a 3.9860
_cell_length_b 3.9860
_cell_length_c 3.9860
_cell_angle_alpha 60.00
_cell_angle_beta 60.00
_cell_angle_gamma 60.00
loop_
_symmetry_equiv_pos_as_xyz
'x,y,z'
loop_
_atom_site_label
_atom_site_type_symbol
_atom_site_fract_x
_atom_site_fract_y
_atom_site_fract_z
Li1 Li 0.0000 0.0000 0.0000
Fe1 Fe 0.5000 0.5000 0.5000
B1 B 0.2500 0.2500 0.2500
Pd1 Pd 0.7500 0.7500 0.7500


(2)
# LiCuReTe3 | OQMD | PBE | optimized geometry
# * total DFT energy (no corrections): -0.16789 Ha/atom
# * symmetry: No. 63
data_LiCuReTe3
_symmetry_space_group_name_H-M 'P 1'
_symmetry_Int_Tables_number 1
_cell_length_a 7.1430
_cell_length_b 7.1430
_cell_length_c 10.1594
_cell_angle_alpha 90.00
_cell_angle_beta 90.00
_cell_angle_gamma 150.34
loop_
_symmetry_equiv_pos_as_xyz
'x,y,z'
loop_
_atom_site_label
_atom_site_type_symbol
_atom_site_fract_x
_atom_site_fract_y
_atom_site_fract_z
Li1 Li 0.2304 0.7696 0.7500
Li2 Li 0.7696 0.2304 0.2500
Cu1 Cu 0.4612 0.5388 0.2500
Cu2 Cu 0.5388 0.4612 0.7500
Re1 Re 0.0000 0.0000 0.0000
Re2 Re 0.0000 0.0000 0.5000
Te1 Te 0.0928 0.9072 0.2500
Te2 Te 0.3566 0.6434 0.0452
Te3 Te 0.3566 0.6434 0.4548
Te4 Te 0.6434 0.3566 0.5452
Te5 Te 0.6434 0.3566 0.9548
Te6 Te 0.9072 0.0928 0.7500


(3)
# LuCoAgBi | OQMD | PBE | optimized geometry
# * energy above the most stable polymorph in this dataset: 0.327 eV per formula unit
# * symmetry: No. 216
data_LuCoAgBi
_symmetry_space_group_name_H-M 'P 1'
_symmetry_Int_Tables_number 1
_cell_length_a 4.8258
_cell_length_b 4.8258
_cell_length_c 4.8258
_cell_angle_alpha 60.00
_cell_angle_beta 60.00
_cell_angle_gamma 60.00
loop_
_symmetry_equiv_pos_as_xyz
'x,y,z'
loop_
_atom_site_label
_atom_site_type_symbol
_atom_site_fract_x
_atom_site_fract_y
_atom_site_fract_z
Lu1 Lu 0.0000 0.0000 0.0000
Co1 Co 0.5000 0.5000 0.5000
Ag1 Ag 0.7500 0.7500 0.7500
Bi1 Bi 0.2500 0.2500 0.2500


(4)
# Dy3TmIn2C2 | OQMD | PBE | optimized geometry
# * total DFT energy (no corrections): -0.20841 Ha/atom
# * symmetry: No. 156
data_Dy3TmIn2C2
_symmetry_space_group_name_H-M 'P 1'
_symmetry_Int_Tables_number 1
_cell_length_a 3.5824
_cell_length_b 3.5824
_cell_length_c 16.3280
_cell_angle_alpha 90.00
_cell_angle_beta 90.00
_cell_angle_gamma 120.00
loop_
_symmetry_equiv_pos_as_xyz
'x,y,z'
loop_
_atom_site_label
_atom_site_type_symbol
_atom_site_fract_x
_atom_site_fract_y
_atom_site_fract_z
Dy1 Dy 0.0000 0.0000 0.0000
Dy2 Dy 0.0000 0.0000 0.3360
Dy3 Dy 0.3333 0.6667 0.5025
Tm1 Tm 0.3333 0.6667 0.8359
In1 In 0.0000 0.0000 0.6707
In2 In 0.3333 0.6667 0.1683
C1 C 0.6667 0.3333 0.4190
C2 C 0.6667 0.3333 0.9173


(5)
# Dy3Er2Tm2Ni2Te2 | OQMD | PBE | optimized geometry
# * energy above the most stable polymorph in this dataset: 0.000 eV per formula unit
# * symmetry: No. 44
data_Dy3Er2Tm2Ni2Te2
_symmetry_space_group_name_H-M 'P 1'
_symmetry_Int_Tables_number 1
_cell_length_a 9.2735
_cell_length_b 9.2735
_cell_length_c 9.2735
_cell_angle_alpha 156.18
_cell_angle_beta 66.89
_cell_angle_gamma 118.53
loop_
_symmetry_equiv_pos_as_xyz
'x,y,z'
loop_
_atom_site_label
_atom_site_type_symbol
_atom_site_fract_x
_atom_site_fract_y
_atom_site_fract_z
Dy1 Dy 0.0000 0.0000 0.0000
Dy2 Dy 0.0841 0.7308 0.3533
Dy3 Dy 0.3775 0.7308 0.6467
Er1 Er 0.4500 0.5832 0.8668
Er2 Er 0.7164 0.5832 0.1332
Tm1 Tm 0.0643 0.3791 0.6852
Tm2 Tm 0.6939 0.3791 0.3148
Ni1 Ni 0.3095 0.0718 0.2377
Ni2 Ni 0.8341 0.0718 0.7623
Te1 Te 0.3381 0.3381 0.0000
Te2 Te 0.7350 0.2350 0.5000


(6)
# CsLiPr | OQMD | PBE | optimized geometry
# * energy above the most stable polymorph in this dataset: 0.560 eV per formula unit
# * symmetry: No. 216
data_CsLiPr
_symmetry_space_group_name_H-M 'P 1'
_symmetry_Int_Tables_number 1
_cell_length_a 5.8169
_cell_length_b 5.8169
_cell_length_c 5.8169
_cell_angle_alpha 60.00
_cell_angle_beta 60.00
_cell_angle_gamma 60.00
loop_
_symmetry_equiv_pos_as_xyz
'x,y,z'
loop_
_atom_site_label
_atom_site_type_symbol
_atom_site_fract_x
_atom_site_fract_y
_atom_site_fract_z
Cs1 Cs 0.0000 0.0000 0.0000
Li1 Li 0.2500 0.2500 0.2500
Pr1 Pr 0.5000 0.5000 0.5000


(7)
# CdSbAs | OQMD | PBE | optimized geometry
# * total DFT energy (no corrections): -0.10824 Ha/atom
# * symmetry: No. 216
data_CdSbAs
_symmetry_space_group_name_H-M 'P 1'
_symmetry_Int_Tables_number 1
_cell_length_a 4.9210
_cell_length_b 4.9210
_cell_length_c 4.9210
_cell_angle_alpha 60.00
_cell_angle_beta 60.00
_cell_angle_gamma 60.00
loop_
_symmetry_equiv_pos_as_xyz
'x,y,z'
loop_
_atom_site_label
_atom_site_type_symbol
_atom_site_fract_x
_atom_site_fract_y
_atom_site_fract_z
Cd1 Cd 0.0000 0.0000 0.0000
Sb1 Sb 0.7500 0.7500 0.7500
As1 As 0.5000 0.5000 0.5000


(8)
# NaTaReSb | OQMD | PBE | optimized geometry
# * energy above the most stable polymorph in this dataset: 0.000 eV per formula unit
# * symmetry: No. 216
data_NaTaReSb
_symmetry_space_group_name_H-M 'P 1'
_symmetry_Int_Tables_number 1
_cell_length_a 4.6214
_cell_length_b 4.6214
_cell_length_c 4.6214
_cell_angle_alpha 60.00
_cell_angle_beta 60.00
_cell_angle_gamma 60.00
loop_
_symmetry_equiv_pos_as_xyz
'x,y,z'
loop_
_atom_site_label
_atom_site_type_symbol
_atom_site_fract_x
_atom_site_fract_y
_atom_site_fract_z
Na1 Na 0.0000 0.0000 0.0000
Ta1 Ta 0.2500 0.2500 0.2500
Re1 Re 0.5000 0.5000 0.5000
Sb1 Sb 0.7500 0.7500 0.7500